Crystalline ZrPt2Cl at its relaxed geometry. Source: the Alexandria database, functional GGA-PBE.

Geometry as CIF:
```
data_ZrPt2Cl
_symmetry_space_group_name_H-M 'P 4/m m m'
_symmetry_Int_Tables_number 123
_symmetry_space_group_name_Hall '-P 4 2'
_cell_length_a 3.804
_cell_length_b 3.804
_cell_length_c 4.904
_cell_angle_alpha 90.00
_cell_angle_beta 90.00
_cell_angle_gamma 90.00
loop_
_atom_site_label
_atom_site_type_symbol
_atom_site_fract_x
_atom_site_fract_y
_atom_site_fract_z
_atom_site_occupancy
Zr1 Zr 0.000 0.000 0.000 1
Pt1 Pt 0.000 0.500 0.500 1
Cl1 Cl 0.500 0.500 0.000 1
```

Output
The formation energy from raw total energies is -0.35 eV per atom. The value obtained for the calculated volume is 17.74 A^3/atom.

---

Crystalline MnV2Hg2S6 at its relaxed geometry. Source: the Alexandria database, functional GGA-PBE.

Geometry as CIF:
```
data_MnV2Hg2S6
_symmetry_space_group_name_H-M 'C 1 2/m 1'
_symmetry_Int_Tables_number 12
_cell_length_a 5.532
_cell_length_b 9.574
_cell_length_c 9.534
_cell_angle_alpha 90.00
_cell_angle_beta 101.81
_cell_angle_gamma 90.00
loop_
_symmetry_equiv_pos_as_xyz
'x,y,z'
'-x,-y,-z'
'-x,y,-z'
'x,-y,z'
'x+1/2,y+1/2,z'
'-x+1/2,-y+1/2,-z'
'-x+1/2,y+1/2,-z'
'x+1/2,-y+1/2,z'
loop_
_atom_site_label
_atom_site_type_symbol
_atom_site_fract_x
_atom_site_fract_y
_atom_site_fract_z
_atom_site_occupancy
Mn1 Mn 0.000 0.000 0.000 1
V1 V 0.000 0.333 0.000 1
Hg1 Hg 0.000 0.168 0.500 1
S1 S 0.219 0.164 0.155 1
S2 S 0.227 0.500 0.155 1
```

Output
The formation energy from raw total energies is -0.61 eV per atom. The value obtained for the calculated volume is 22.47 A^3/atom.

---

Crystalline NiBiSe at its relaxed geometry. Source: the Alexandria database, functional GGA-PBE.

Geometry as CIF:
```
data_NiBiSe
_symmetry_space_group_name_H-M 'P 1'
_symmetry_Int_Tables_number 1
_cell_length_a 3.535
_cell_length_b 5.899
_cell_length_c 6.913
_cell_angle_alpha 77.81
_cell_angle_beta 75.64
_cell_angle_gamma 89.98
loop_
_symmetry_equiv_pos_as_xyz
'x,y,z'
loop_
_atom_site_label
_atom_site_type_symbol
_atom_site_fract_x
_atom_site_fract_y
_atom_site_fract_z
_atom_site_occupancy
Ni1 Ni 0.000 0.000 0.000 1
Ni2 Ni 0.497 0.346 0.005 1
Bi1 Bi 0.387 0.697 0.235 1
Bi2 Bi 0.614 0.817 0.764 1
Se1 Se 0.117 0.358 0.759 1
Se2 Se 0.877 0.228 0.252 1
```

Output
The formation energy from raw total energies is -0.20 eV per atom. The value obtained for the calculated volume is 22.71 A^3/atom.

---

Crystalline Sr3AcZn8 at its relaxed geometry. Source: the Alexandria database, functional GGA-PBE.

Geometry as CIF:
```
data_Sr3AcZn8
_symmetry_space_group_name_H-M 'P 3 m 1'
_symmetry_Int_Tables_number 156
_cell_length_a 5.9428
_cell_length_b 5.9428
_cell_length_c 9.0399
_cell_angle_alpha 90.00
_cell_angle_beta 90.00
_cell_angle_gamma 120.00
loop_
_symmetry_equiv_pos_as_xyz
'x,y,z'
'-y,x-y,z'
'-x+y,-x,z'
'-y,-x,z'
'-x+y,y,z'
'x,x-y,z'
loop_
_atom_site_label
_atom_site_type_symbol
_atom_site_fract_x
_atom_site_fract_y
_atom_site_fract_z
_atom_site_occupancy
Sr1 Sr 0.0000 0.0000 0.0000 1
Sr2 Sr 0.0000 0.0000 0.3928 1
Sr3 Sr 0.3333 0.6667 0.9014 1
Ac1 Ac 0.3333 0.6667 0.5017 1
Zn1 Zn 0.3532 0.1766 0.6982 1
Zn2 Zn 0.5116 0.0233 0.1996 1
Zn3 Zn 0.6667 0.3333 0.4500 1
Zn4 Zn 0.6667 0.3333 0.9473 1
```

Output
Its formation energy is -224 kJ/mol of formula units. The value obtained for the calculated volume is 23.04 A^3/atom.

---

Look up the calculated volume of the third one. 22.71 A^3/atom

---

Copy entry 1 word for word.
Crystalline ZrPt2Cl at its relaxed geometry. Source: the Alexandria database, functional GGA-PBE.

Geometry as CIF:
```
data_ZrPt2Cl
_symmetry_space_group_name_H-M 'P 4/m m m'
_symmetry_Int_Tables_number 123
_symmetry_space_group_name_Hall '-P 4 2'
_cell_length_a 3.804
_cell_length_b 3.804
_cell_length_c 4.904
_cell_angle_alpha 90.00
_cell_angle_beta 90.00
_cell_angle_gamma 90.00
loop_
_atom_site_label
_atom_site_type_symbol
_atom_site_fract_x
_atom_site_fract_y
_atom_site_fract_z
_atom_site_occupancy
Zr1 Zr 0.000 0.000 0.000 1
Pt1 Pt 0.000 0.500 0.500 1
Cl1 Cl 0.500 0.500 0.000 1
```

Output
The formation energy from raw total energies is -0.35 eV per atom. The value obtained for the calculated volume is 17.74 A^3/atom.